(1)
First-principles (PBE) data for SrHgGe2 after structural relaxation, as listed in Alexandria.

The total DFT energy (no corrections) comes out at -46.6 eV/cell. The formation energy is -0.11 eV/atom.

Lattice parameters (Å, degrees): 4.8446 4.8446 19.3362 90.00 90.00 90.00
Closest atoms and distances in Å follow each position.
Space group I-42d (No. 122)
Asymmetric unit:
Sr  0.0000  0.0000  0.0000  4 Ge 3.22, 4 Hg 3.43
Hg  0.0000  0.0000  0.5000  4 Ge 2.79
Ge  0.1397  0.2500  0.6250  2 Ge 2.77, 2 Hg 2.79

=====

(2)
First-principles (PBE) data for Sr3Hg3Ge after structural relaxation, as listed in Alexandria.

The total DFT energy (no corrections) comes out at -56.1 eV/cell. The formation energy is -0.49 eV/atom.

Lattice parameters (Å, degrees): 11.8617 4.5962 16.8775 90.00 108.28 90.00
Closest atoms and distances in Å follow each position.
Space group C2/m (No. 12)
Asymmetric unit:
Sr  0.0432  0.0000  0.3947  7 Hg 3.32-3.58, 3 Ge 3.34-3.51
Sr  0.0993  0.0000  0.9182  7 Hg 3.34-3.49
Sr  0.2495  0.5000  0.7606  6 Hg 3.34-3.54, 2 Ge 3.37
Hg  0.0308  0.5000  0.2365  1 Ge 2.92, 1 Hg 3.16
Hg  0.1175  0.5000  0.0776  2 Hg 3.16-3.17, 5 Sr 3.34-3.49
Hg  0.1394  0.5000  0.5423  2 Ge 2.78
Ge  0.2424  0.5000  0.3832  3 Hg 2.78-2.92

=====

(3)
First-principles (PBE) data for SrHgGe2 after structural relaxation, as listed in Alexandria.

The total DFT energy (no corrections) comes out at -100.6 eV/cell. The formation energy is -0.34 eV/atom.

Lattice parameters (Å, degrees): 14.7841 4.7687 11.6434 90.00 90.00 90.00
Closest atoms and distances in Å follow each position.
Space group Pnma (No. 62)
Asymmetric unit:
Sr  0.0398  0.2500  0.2444  7 Ge 3.25-3.62, 4 Hg 3.37-3.62
Sr  0.1948  0.7500  0.5420  10 Ge 3.33-3.59, 4 Hg 3.35-3.71
Hg  0.0692  0.2500  0.9436  4 Ge 2.75-2.99
Hg  0.2491  0.7500  0.8531  3 Ge 2.80-2.81
Ge  0.0380  0.2500  0.5236  3 Ge 2.47-2.69
Ge  0.1115  0.2500  0.7141  2 Ge 2.47-2.58, 1 Hg 2.75
Ge  0.1326  0.7500  0.0426  1 Ge 2.55, 3 Hg 2.80-2.81
Ge  0.2146  0.7500  0.2348  2 Ge 2.55-2.58, 2 Hg 2.81

=====

(4)
First-principles (PBE) data for SrHgGe2 after structural relaxation, as listed in Alexandria.

The total DFT energy (no corrections) comes out at -50.4 eV/cell. The formation energy is -0.34 eV/atom.

Lattice parameters (Å, degrees): 7.1967 4.9660 11.5987 90.00 90.00 90.00
Closest atoms and distances in Å follow each position.
Space group Pnma (No. 62)
Asymmetric unit:
Sr  0.1590  0.2500  0.1578  9 Ge 3.38-3.65, 4 Hg 3.48-3.54
Hg  0.2146  0.2500  0.4614  3 Ge 2.76-2.85
Ge  0.0218  0.2500  0.6671  2 Ge 2.51-2.55, 1 Hg 2.76
Ge  0.1703  0.2500  0.8633  2 Ge 2.51-2.55

=====

(5)
First-principles (PBE) data for Sr8HgGe2 after structural relaxation, as listed in Alexandria.

The total DFT energy (no corrections) comes out at -53.3 eV/cell. The formation energy is -0.33 eV/atom.

Lattice parameters (Å, degrees): 20.6911 5.4207 7.8568 90.00 103.47 90.00
Closest atoms and distances in Å follow each position.
Space group C2/m (No. 12)
Asymmetric unit:
Sr  0.0415  0.0000  0.2878  1 Ge 3.35, 2 Hg 3.40
Sr  0.0932  0.5000  0.9442  1 Hg 3.57, 2 Ge 3.80, 2 Sr 3.89
Sr  0.1692  0.5000  0.4640  3 Ge 3.27-3.43, 1 Hg 3.58
Sr  0.2109  0.0000  0.8271  3 Ge 3.19-3.40
Hg  0.0000  0.5000  0.5000  8 Sr 3.40-3.58
Ge  0.1958  0.0000  0.2224  7 Sr 3.19-3.43

=====

(6)
First-principles (PBE) data for Sr5Hg4Ge after structural relaxation, as listed in Alexandria.

The total DFT energy (no corrections) comes out at -19.4 eV/cell. The formation energy is -0.51 eV/atom.

Lattice parameters (Å, degrees): 3.9590 3.9590 20.0357 90.00 90.00 90.00
Closest atoms and distances in Å follow each position.
Space group P4/mmm (No. 123)
Asymmetric unit:
Sr  0.0000  0.0000  0.0000  8 Hg 3.45
Sr  0.0000  0.0000  0.2034  8 Hg 3.45-3.48
Sr  0.0000  0.0000  0.4077  4 Ge 3.36, 4 Hg 3.49, 1 Sr 3.70
Hg  0.5000  0.5000  0.1005  8 Sr 3.45-3.48
Hg  0.5000  0.5000  0.3039  8 Sr 3.45-3.49
Ge  0.5000  0.5000  0.5000  8 Sr 3.36

=====

(7)
First-principles (PBE) data for SrHgGe4 after structural relaxation, as listed in Alexandria.

The total DFT energy (no corrections) comes out at -84.1 eV/cell. The formation energy is -0.09 eV/atom.

Lattice parameters (Å, degrees): 8.1681 8.1681 8.1681 90.00 90.00 90.00
Closest atoms and distances in Å follow each position.
Space group F-43m (No. 216)
Asymmetric unit:
Sr  0.0000  0.0000  0.0000  12 Ge 3.39, 4 Hg 3.54
Hg  0.2500  0.2500  0.2500  12 Ge 3.38, 4 Sr 3.54
Ge  0.1243  0.1243  0.6243  6 Ge 2.87-2.90

=====

(8)
First-principles (PBE) data for Sr2Hg2Ge after structural relaxation, as listed in Alexandria.

The total DFT energy (no corrections) comes out at -44.3 eV/cell. The formation energy is -0.50 eV/atom.

Lattice parameters (Å, degrees): 11.8957 4.6250 12.4472 90.00 117.45 90.00
Closest atoms and distances in Å follow each position.
Space group C2/m (No. 12)
Asymmetric unit:
Sr  0.0465  0.0000  0.3590  4 Ge 3.38-3.68, 7 Hg 3.38-3.58
Sr  0.1946  0.0000  0.1092  6 Hg 3.33-3.49, 2 Ge 3.35
Hg  0.0217  0.5000  0.8829  1 Ge 2.87, 1 Hg 3.19
Hg  0.1381  0.5000  0.5817  2 Ge 2.76, 1 Hg 2.96
Ge  0.2291  0.5000  0.3163  3 Hg 2.76-2.87